(1)
Dy2B3O8: relaxed, PBEsol.

Computed properties:
M_tot: 4.3 μB per cell
SG: Pbcn, No. 60

Lattice parameters (Å, degrees): 12.8016 4.3324 8.8351 90.00 90.00 90.00
With the nearest neighbours (Å) after each atom.
Positions (direct):
Dy 0.1387 0.0518 0.0374  7 O 2.29-2.40
Dy 0.1387 0.9482 0.5374  7 O 2.29-2.40
Dy 0.3613 0.4482 0.5374  7 O 2.29-2.40
Dy 0.3613 0.5518 0.0374  7 O 2.29-2.40
Dy 0.6387 0.4482 0.9626  7 O 2.29-2.40
Dy 0.6387 0.5518 0.4626  7 O 2.29-2.40
Dy 0.8613 0.0518 0.4626  7 O 2.29-2.40
Dy 0.8613 0.9482 0.9626  7 O 2.29-2.40
B 0.0000 0.4285 0.7500  4 O 1.47-1.49
B 0.0000 0.5715 0.2500  4 O 1.47-1.49
B 0.1930 0.4818 0.3020  4 O 1.44-1.50
B 0.1930 0.5182 0.8020  4 O 1.44-1.50
B 0.3070 0.0182 0.8020  4 O 1.44-1.50
B 0.3070 0.9818 0.3020  4 O 1.44-1.50
B 0.5000 0.0715 0.2500  4 O 1.47-1.49
B 0.5000 0.9285 0.7500  4 O 1.47-1.49
B 0.6930 0.0182 0.6980  4 O 1.44-1.50
B 0.6930 0.9818 0.1980  4 O 1.44-1.50
B 0.8070 0.4818 0.1980  4 O 1.44-1.50
B 0.8070 0.5182 0.6980  4 O 1.44-1.50
O 0.0054 0.2157 0.8789  1 B 1.47
O 0.0054 0.7843 0.3789  1 B 1.47
O 0.0937 0.3702 0.2378  2 B 1.47-1.49
O 0.0937 0.6298 0.7378  2 B 1.47-1.49
O 0.1881 0.4618 0.4649  1 B 1.44
O 0.1881 0.5382 0.9649  1 B 1.44
O 0.2155 0.2006 0.7462  2 B 1.49-1.50
O 0.2155 0.7994 0.2462  2 B 1.49-1.50
O 0.2845 0.2994 0.2462  2 B 1.49-1.50
O 0.2845 0.7006 0.7462  2 B 1.49-1.50
O 0.3119 0.0382 0.9649  1 B 1.44
O 0.3119 0.9618 0.4649  1 B 1.44
O 0.4063 0.1298 0.7378  2 B 1.47-1.49
O 0.4063 0.8702 0.2378  2 B 1.47-1.49
O 0.4946 0.2843 0.3789  1 B 1.47
O 0.4946 0.7157 0.8789  1 B 1.47
O 0.5054 0.2843 0.1211  1 B 1.47
O 0.5054 0.7157 0.6211  1 B 1.47
O 0.5937 0.1298 0.7622  2 B 1.47-1.49
O 0.5937 0.8702 0.2622  2 B 1.47-1.49
O 0.6881 0.0382 0.5351  1 B 1.44
O 0.6881 0.9618 0.0351  1 B 1.44
O 0.7155 0.2994 0.2538  2 B 1.49-1.50
O 0.7155 0.7006 0.7538  2 B 1.49-1.50
O 0.7845 0.2006 0.7538  2 B 1.49-1.50
O 0.7845 0.7994 0.2538  2 B 1.49-1.50
O 0.8119 0.4618 0.0351  1 B 1.44
O 0.8119 0.5382 0.5351  1 B 1.44
O 0.9063 0.3702 0.2622  2 B 1.47-1.49
O 0.9063 0.6298 0.7622  2 B 1.47-1.49
O 0.9946 0.2157 0.6211  1 B 1.47
O 0.9946 0.7843 0.1211  1 B 1.47



(2)
Dy4B6O15: relaxed, PBEsol.

Computed properties:
M_tot: 0.0 μB per cell
SG: C2/c, No. 15

Lattice parameters (Å, degrees): 6.2145 6.2145 18.6968 96.12 96.12 41.01
With the nearest neighbours (Å) after each atom.
Positions (direct):
Dy 0.0677 0.6626 0.9004  5 O 2.22-2.44
Dy 0.0767 0.6496 0.6960  6 O 2.23-2.50
Dy 0.3374 0.9323 0.5996  5 O 2.22-2.44
Dy 0.3504 0.9233 0.8040  6 O 2.23-2.50
Dy 0.6496 0.0767 0.1960  6 O 2.23-2.50
Dy 0.6626 0.0677 0.4004  5 O 2.22-2.44
Dy 0.9233 0.3504 0.3040  6 O 2.23-2.50
Dy 0.9323 0.3374 0.0996  5 O 2.22-2.44
B 0.0207 0.6414 0.5255  4 O 1.45-1.54
B 0.2001 0.6080 0.0873  4 O 1.46-1.50
B 0.2018 0.6626 0.3054  4 O 1.43-1.50
B 0.3374 0.7982 0.1946  4 O 1.43-1.50
B 0.3586 0.9793 0.9745  4 O 1.45-1.54
B 0.3920 0.7999 0.4127  4 O 1.46-1.50
B 0.6080 0.2001 0.5873  4 O 1.46-1.50
B 0.6414 0.0207 0.0255  4 O 1.45-1.54
B 0.6626 0.2018 0.8054  4 O 1.43-1.50
B 0.7982 0.3374 0.6946  4 O 1.43-1.50
B 0.7999 0.3920 0.9127  4 O 1.46-1.50
B 0.9793 0.3586 0.4745  4 O 1.45-1.54
O 0.0046 0.2513 0.9794  2 B 1.45-1.47
O 0.0522 0.3114 0.7038  1 B 1.45
O 0.0836 0.5583 0.1395  1 B 1.46
O 0.0862 0.4945 0.4499  2 B 1.51-1.54
O 0.1296 0.8704 0.2500  2 B 1.50
O 0.1599 0.8103 0.3790  2 B 1.47-1.50
O 0.1897 0.8401 0.1210  2 B 1.47-1.50
O 0.2513 0.0046 0.4794  2 B 1.45-1.47
O 0.2873 0.5457 0.5701  2 B 1.46-1.50
O 0.3114 0.0522 0.2038  1 B 1.45
O 0.3370 0.5335 0.8029  1 B 1.43
O 0.4417 0.9164 0.3605  1 B 1.46
O 0.4543 0.7127 0.9299  2 B 1.46-1.50
O 0.4665 0.6630 0.6971  1 B 1.43
O 0.4945 0.0862 0.9499  2 B 1.51-1.54
O 0.5055 0.9138 0.0501  2 B 1.51-1.54
O 0.5335 0.3370 0.3029  1 B 1.43
O 0.5457 0.2873 0.0701  2 B 1.46-1.50
O 0.5583 0.0836 0.6395  1 B 1.46
O 0.6630 0.4665 0.1971  1 B 1.43
O 0.6886 0.9478 0.7962  1 B 1.45
O 0.7127 0.4543 0.4299  2 B 1.46-1.50
O 0.7487 0.9954 0.5206  2 B 1.45-1.47
O 0.8103 0.1599 0.8790  2 B 1.47-1.50
O 0.8401 0.1897 0.6210  2 B 1.47-1.50
O 0.8704 0.1296 0.7500  2 B 1.50
O 0.9138 0.5055 0.5501  2 B 1.51-1.54
O 0.9164 0.4417 0.8605  1 B 1.46
O 0.9478 0.6886 0.2962  1 B 1.45
O 0.9954 0.7487 0.0206  2 B 1.45-1.47



(3)
DyBO3: relaxed, PBEsol.

Computed properties:
M_tot: 0.0 μB per cell
SG: P-1, No. 2

Lattice parameters (Å, degrees): 7.1517 8.9420 9.7610 81.37 85.51 77.18
With the nearest neighbours (Å) after each atom.
Positions (direct):
Dy 0.0664 0.0593 0.1572  6 O 2.17-2.35
Dy 0.0740 0.5560 0.6557  7 O 2.25-2.42
Dy 0.2380 0.9403 0.5289  7 O 2.26-2.49
Dy 0.2501 0.4558 0.0211  8 O 2.25-2.45
Dy 0.4008 0.0653 0.8298  8 O 2.30-2.44
Dy 0.4014 0.5691 0.3372  8 O 2.27-2.45
Dy 0.5986 0.4309 0.6628  8 O 2.27-2.45
Dy 0.5992 0.9347 0.1702  8 O 2.30-2.44
Dy 0.7499 0.5442 0.9789  8 O 2.25-2.45
Dy 0.7620 0.0597 0.4711  7 O 2.26-2.49
Dy 0.9260 0.4440 0.3443  7 O 2.25-2.42
Dy 0.9336 0.9407 0.8428  6 O 2.17-2.35
B 0.0233 0.2150 0.5767  4 O 1.44-1.53
B 0.0330 0.7209 0.1135  3 O 1.36-1.41
B 0.2809 0.7172 0.8086  4 O 1.45-1.54
B 0.3320 0.2289 0.2943  3 O 1.37-1.40
B 0.3847 0.2429 0.5519  4 O 1.44-1.54
B 0.3924 0.7470 0.0527  4 O 1.43-1.53
B 0.6076 0.2530 0.9473  4 O 1.43-1.53
B 0.6153 0.7571 0.4481  4 O 1.44-1.54
B 0.6680 0.7711 0.7057  3 O 1.37-1.40
B 0.7191 0.2828 0.1914  4 O 1.45-1.54
B 0.9670 0.2791 0.8865  3 O 1.36-1.41
B 0.9767 0.7850 0.4233  4 O 1.44-1.53
O 0.0304 0.1877 0.4266  1 B 1.52
O 0.0478 0.4060 0.8732  1 B 1.37
O 0.0655 0.9061 0.3517  1 B 1.44
O 0.0668 0.1306 0.9159  1 B 1.36
O 0.0716 0.6274 0.4130  1 B 1.44
O 0.0918 0.6845 0.8691  1 B 1.50
O 0.2274 0.1764 0.6279  2 B 1.48-1.53
O 0.2313 0.6824 0.1363  2 B 1.41-1.53
O 0.2535 0.3849 0.2623  1 B 1.38
O 0.2536 0.8839 0.7651  1 B 1.46
O 0.3344 0.1334 0.1962  1 B 1.37
O 0.3445 0.6281 0.6948  1 B 1.45
O 0.3462 0.4093 0.5361  1 B 1.44
O 0.3493 0.9124 0.0357  1 B 1.43
O 0.4196 0.1644 0.4197  2 B 1.40-1.54
O 0.4202 0.6608 0.9273  2 B 1.52-1.54
O 0.4360 0.3158 0.8689  1 B 1.46
O 0.4422 0.8198 0.3716  1 B 1.46
O 0.5578 0.1802 0.6284  1 B 1.46
O 0.5640 0.6842 0.1311  1 B 1.46
O 0.5798 0.3392 0.0727  2 B 1.52-1.54
O 0.5804 0.8356 0.5803  2 B 1.40-1.54
O 0.6507 0.0876 0.9643  1 B 1.43
O 0.6538 0.5907 0.4639  1 B 1.44
O 0.6555 0.3719 0.3052  1 B 1.45
O 0.6656 0.8666 0.8038  1 B 1.37
O 0.7464 0.1161 0.2349  1 B 1.46
O 0.7465 0.6151 0.7377  1 B 1.38
O 0.7687 0.3176 0.8637  2 B 1.41-1.53
O 0.7726 0.8236 0.3721  2 B 1.48-1.53
O 0.9082 0.3155 0.1309  1 B 1.50
O 0.9284 0.3726 0.5870  1 B 1.44
O 0.9332 0.8694 0.0841  1 B 1.36
O 0.9345 0.0939 0.6483  1 B 1.44
O 0.9522 0.5940 0.1268  1 B 1.37
O 0.9696 0.8123 0.5734  1 B 1.52



(4)
DyBO3: relaxed, PBEsol.

Computed properties:
M_tot: 0.0 μB per cell
SG: Ama2, No. 40

Lattice parameters (Å, degrees): 8.4987 3.8508 3.8508 112.82 90.00 90.00
With the nearest neighbours (Å) after each atom.
Positions (direct):
Dy 0.0000 0.0000 0.0000  6 O 2.24-2.31
Dy 0.5000 0.0000 0.0000  6 O 2.24-2.31
B 0.2500 0.5702 0.2979  3 O 1.37-1.39
B 0.7500 0.2979 0.5702  3 O 1.37-1.39
O 0.1029 0.7373 0.3974  1 B 1.39
O 0.2500 0.1971 0.0618  1 B 1.37
O 0.3971 0.7373 0.3974  1 B 1.39
O 0.6029 0.3974 0.7373  1 B 1.39
O 0.7500 0.0618 0.1971  1 B 1.37
O 0.8971 0.3974 0.7373  1 B 1.39



Number 1: calculated volume 490.01 Å³ per cell, Fermi-level density of states 14.49 states/eV/cell, uncorrected formation energy -276 kJ/mol of atoms. Number 2: calculated volume 470.74 Å³ per cell, Fermi-level density of states 0.00 states/eV/cell, uncorrected formation energy -293 kJ/mol of atoms. Number 3: calculated volume 601.11 Å³ per cell, Fermi-level density of states 0.00 states/eV/cell, uncorrected formation energy -304 kJ/mol of atoms. Number 4: calculated volume 116.16 Å³ per cell, Fermi-level density of states 0.00 states/eV/cell, uncorrected formation energy -297 kJ/mol of atoms.